(1)
VASP calculation (PBEsol) on Sr2NiHg after structural relaxation. Values from VASP.

```
&SYSTEM
  ibrav = 0, nat = 4, ntyp = 3
/
ATOMIC_SPECIES
Sr 87.62 Sr.upf
Ni 58.69 Ni.upf
Hg 200.59 Hg.upf
ATOMIC_POSITIONS crystal
Sr 0.000 0.000 0.000
Sr 0.500 0.500 0.425
Ni 0.500 0.500 0.932
Hg 0.000 0.000 0.520
CELL_PARAMETERS angstrom
4.363 0.000 0.000
0.000 4.363 0.000
0.000 0.000 6.359
```

Properties
calculated total energy = -10.075 eV for the cell shown
SG = P4mm, No. 99
N(E_F) = 4.2 states/eV/f.u.

---

(2)
VASP calculation (PBEsol) on KMgPb2 after structural relaxation. Values from VASP.

```
&SYSTEM
  ibrav = 0, nat = 4, ntyp = 3
/
ATOMIC_SPECIES
K 39.10 K.upf
Mg 24.30 Mg.upf
Pb 207.20 Pb.upf
ATOMIC_POSITIONS crystal
K 0.000 0.000 0.000
Mg 0.000 0.000 0.500
Pb 0.500 0.500 0.303
Pb 0.500 0.500 0.697
CELL_PARAMETERS angstrom
3.665 0.000 0.000
0.000 3.960 0.000
0.000 0.000 8.234
```

Properties
calculated total energy = -11.467 eV for the cell shown
SG = Pmmm, No. 47
N(E_F) = 1.7 states/eV/f.u.

---

(3)
VASP calculation (PBEsol) on As2WO7 after structural relaxation. Values from VASP.

```
&SYSTEM
  ibrav = 0, nat = 40, ntyp = 3
/
ATOMIC_SPECIES
As 74.92 As.upf
W 183.84 W.upf
O 16.00 O.upf
ATOMIC_POSITIONS crystal
As 0.065 0.247 0.241
As 0.065 0.253 0.741
As 0.327 0.213 0.000
As 0.327 0.287 0.500
As 0.673 0.713 0.500
As 0.673 0.787 0.000
As 0.935 0.747 0.259
As 0.935 0.753 0.759
W 0.329 0.574 0.192
W 0.329 0.926 0.692
W 0.671 0.074 0.308
W 0.671 0.426 0.808
O 0.105 0.167 0.092
O 0.105 0.333 0.592
O 0.109 0.050 0.747
O 0.109 0.450 0.247
O 0.161 0.745 0.233
O 0.161 0.755 0.733
O 0.190 0.156 0.372
O 0.190 0.344 0.872
O 0.378 0.117 0.606
O 0.378 0.383 0.106
O 0.426 0.705 0.080
O 0.426 0.795 0.580
O 0.483 0.567 0.330
O 0.483 0.933 0.830
O 0.517 0.067 0.170
O 0.517 0.433 0.670
O 0.574 0.205 0.420
O 0.574 0.295 0.920
O 0.622 0.617 0.894
O 0.622 0.883 0.394
O 0.810 0.656 0.128
O 0.810 0.844 0.628
O 0.839 0.245 0.267
O 0.839 0.255 0.767
O 0.891 0.550 0.753
O 0.891 0.950 0.253
O 0.895 0.667 0.408
O 0.895 0.833 0.908
CELL_PARAMETERS angstrom
7.415 0.000 0.000
0.000 8.319 0.000
-0.896 0.000 10.140
```

Properties
energy relative to the elements, uncorrected = -1410 kJ/mol of formula units
calculated total energy = -301.528 eV for the cell shown
SG = P2_1/c, No. 14
N(E_F) = 0.0 states/eV/f.u.

---

(4)
VASP calculation (PBEsol) on ScRePt2 after structural relaxation. Values from VASP.

```
&SYSTEM
  ibrav = 0, nat = 8, ntyp = 3
/
ATOMIC_SPECIES
Sc 44.96 Sc.upf
Re 186.21 Re.upf
Pt 195.08 Pt.upf
ATOMIC_POSITIONS crystal
Sc 0.000 0.000 0.000
Sc 0.500 0.500 0.500
Re 0.000 0.500 0.236
Re 0.500 0.000 0.736
Pt 0.000 0.000 0.507
Pt 0.000 0.500 0.762
Pt 0.500 0.000 0.262
Pt 0.500 0.500 0.007
CELL_PARAMETERS angstrom
2.792 0.000 0.000
0.000 4.705 0.000
0.000 0.000 9.734
```

Properties
calculated total energy = -70.055 eV for the cell shown
SG = Imm2, No. 44
N(E_F) = 3.8 states/eV/f.u.

---

(5)
VASP calculation (PBEsol) on LiLaMn after structural relaxation. Values from VASP.

```
&SYSTEM
  ibrav = 0, nat = 12, ntyp = 3
/
ATOMIC_SPECIES
Li 6.94 Li.upf
La 138.91 La.upf
Mn 54.94 Mn.upf
ATOMIC_POSITIONS crystal
Li 0.000 0.000 0.000
Li 0.000 0.500 0.500
Li 0.500 0.000 0.500
Li 0.500 0.500 0.000
La 0.250 0.250 0.250
La 0.250 0.750 0.750
La 0.750 0.250 0.750
La 0.750 0.750 0.250
Mn 0.250 0.250 0.750
Mn 0.250 0.750 0.250
Mn 0.750 0.250 0.250
Mn 0.750 0.750 0.750
CELL_PARAMETERS angstrom
6.491 0.000 0.000
0.000 6.491 0.000
0.000 0.000 6.491
```

Properties
calculated total energy = -59.193 eV for the cell shown
SG = F-43m, No. 216
N(E_F) = 3.7 states/eV/f.u.

---

(6)
VASP calculation (PBEsol) on ScInMo2 after structural relaxation. Values from VASP.

```
&SYSTEM
  ibrav = 0, nat = 12, ntyp = 3
/
ATOMIC_SPECIES
Sc 44.96 Sc.upf
In 114.82 In.upf
Mo 95.94 Mo.upf
ATOMIC_POSITIONS crystal
Sc 0.000 0.000 0.000
Sc 0.333 0.667 0.667
Sc 0.667 0.333 0.333
In 0.000 0.000 0.500
In 0.333 0.667 0.167
In 0.667 0.333 0.833
Mo 0.000 0.000 0.249
Mo 0.000 0.000 0.751
Mo 0.333 0.667 0.417
Mo 0.333 0.667 0.916
Mo 0.667 0.333 0.084
Mo 0.667 0.333 0.583
CELL_PARAMETERS angstrom
2.947 0.000 0.000
-1.473 2.552 0.000
0.000 0.000 28.588
```

Properties
calculated total energy = -94.247 eV for the cell shown
SG = R-3m, No. 166
N(E_F) = 3.8 states/eV/f.u.

---

(7)
VASP calculation (PBEsol) on Hg2Pb2Se after structural relaxation. Values from VASP.

```
&SYSTEM
  ibrav = 0, nat = 10, ntyp = 3
/
ATOMIC_SPECIES
Hg 200.59 Hg.upf
Pb 207.20 Pb.upf
Se 78.96 Se.upf
ATOMIC_POSITIONS crystal
Hg 0.000 0.000 0.165
Hg 0.000 0.000 0.835
Hg 0.500 0.500 0.335
Hg 0.500 0.500 0.665
Pb 0.000 0.500 0.250
Pb 0.000 0.500 0.750
Pb 0.500 0.000 0.250
Pb 0.500 0.000 0.750
Se 0.000 0.000 0.500
Se 0.500 0.500 0.000
CELL_PARAMETERS angstrom
5.898 0.000 0.000
0.000 5.898 0.000
0.000 0.000 8.131
```

Properties
energy relative to the elements, uncorrected = 71 kJ/mol of formula units
calculated total energy = -24.486 eV for the cell shown
SG = I4/mmm, No. 139
N(E_F) = 3.3 states/eV/f.u.

---

(8)
VASP calculation (PBEsol) on Ba2HgRh after structural relaxation. Values from VASP.

```
&SYSTEM
  ibrav = 0, nat = 4, ntyp = 3
/
ATOMIC_SPECIES
Ba 137.33 Ba.upf
Hg 200.59 Hg.upf
Rh 102.91 Rh.upf
ATOMIC_POSITIONS crystal
Ba 0.000 0.000 0.219
Ba 0.000 0.000 0.781
Hg 0.500 0.500 0.500
Rh 0.500 0.500 0.000
CELL_PARAMETERS angstrom
3.832 0.000 0.000
0.000 3.832 0.000
0.000 0.000 8.037
```

Properties
calculated total energy = -13.858 eV for the cell shown
SG = P4/mmm, No. 123
N(E_F) = 3.3 states/eV/f.u.